Record 1
Here is a relaxed structure of KCdSn4 from Alexandria. Energies are from PBE.

Cell lengths 5.333, 5.333, 7.500 Å; angles 90.00, 90.00, 120.00 degrees
Element x y z (fractional)
Cd 0.000 0.000 0.000
Sn 0.667 0.333 0.200
Sn 0.333 0.667 0.200
Sn 0.667 0.333 0.800
Sn 0.333 0.667 0.800
K 0.000 0.000 0.500

Summary:
E above lowest polymorph (eV/atom): 0.000
ΔH_f (0 K) (eV per atom): -0.08
SG: P6/mmm (191)



Record 2
Here is a relaxed structure of ZnBi3Pd from Alexandria. Energies are from PBE.

Cell lengths 5.406, 5.406, 5.406 Å; angles 90.00, 90.00, 90.00 degrees
Element x y z (fractional)
Bi 0.000 0.000 0.500
Pd 0.000 0.000 0.000
Bi 0.500 0.000 0.000
Zn 0.500 0.500 0.500
Bi 0.000 0.500 0.000

Summary:
E above lowest polymorph (eV/atom): 0.000
ΔH_f (0 K) (eV per atom): 0.40
SG: Pm-3m (221)



Record 3
Here is a relaxed structure of Th4Ga from Alexandria. Energies are from PBE.

Cell lengths 5.600, 5.600, 5.600 Å; angles 90.00, 90.00, 90.00 degrees
Element x y z (fractional)
Ga 0.500 0.500 0.500
Th 0.000 0.500 0.500
Th 0.000 0.000 0.000
Th 0.500 0.500 0.000
Th 0.500 0.000 0.500

Summary:
ΔH_f (0 K) (eV per atom): 0.39
SG: Pm-3m (221)